1.
YTlHg2 | GGA-PBEsol | optimized geometry

abc: 5.7670 5.7670 5.7670
angles: 136.88 131.82 66.62
Fractional coordinates of all 4 atoms:
Y  0.0000  0.0000  0.0000
Tl  0.7421  0.2421  0.5000
Hg  0.2493  0.7493  0.5000
Hg  0.4906  0.4906  0.0000

## Properties
- Calculated formation energy: -30 kJ per mole of atoms

***

2.
BaYIn | GGA-PBEsol | optimized geometry

abc: 5.4847 5.4847 5.4847
angles: 60.00 60.00 60.00
Fractional coordinates of all 3 atoms:
Ba  0.0000  0.0000  0.0000
Y  0.5000  0.5000  0.5000
In  0.7500  0.7500  0.7500

## Properties
- Calculated formation energy: 0 kJ per mole of atoms

***

Which of these has the lowest calculated formation energy? YTlHg2

***

Look up the calculated formation energy of the second one. 0 kJ per mole of atoms